Entry 1:
{"formula": "InSi", "functional": "GGA-PBE", "state": "optimized geometry", "raw_formation_energy_ev_per_atom": 0.30, "space_group": "Cm (8)", "density_g_cm3": 5.289, "cell": [[3.745, -3.257, -3.668], [4.714, 0.006, -3.983], [5.117, -1.109, 4.258]], "species": ["Si", "Si", "Si", "In", "In", "In"], "fractional_positions": [[0.650, 0.650, 0.176], [0.053, 0.053, 0.002], [0.031, 0.031, 0.379], [0.405, 0.405, 0.735], [0.348, 0.348, 0.227], [0.680, 0.680, 0.648]]}

---

Entry 2:
{"formula": "In3Si", "functional": "GGA-PBE", "state": "optimized geometry", "raw_formation_energy_ev_per_atom": 0.29, "space_group": "Cmmm (65)", "density_g_cm3": 6.411, "cell": [[5.347, 0.321, 0.000], [-1.494, 5.144, 0.000], [0.000, 0.000, 3.448]], "species": ["Si", "In", "In", "In"], "fractional_positions": [[0.000, 0.000, 0.000], [0.500, 0.500, 0.000], [0.500, 0.000, 0.500], [0.000, 0.500, 0.500]]}

---

Entry 3:
{"formula": "InSi5", "functional": "GGA-PBE", "state": "optimized geometry", "raw_formation_energy_ev_per_atom": 0.49, "space_group": "P6/mmm (191)", "relative_energy_mev_per_atom": 79, "density_g_cm3": 4.086, "cell": [[-3.866, 1.791, 3.135], [-1.170, -2.046, -4.736], [-0.366, -3.881, 1.767]], "species": ["Si", "Si", "Si", "Si", "Si", "In"], "fractional_positions": [[0.333, 0.667, 0.000], [0.000, 0.500, 0.500], [0.667, 0.333, 0.000], [0.500, 0.000, 0.500], [0.500, 0.500, 0.500], [0.000, 0.000, 0.000]]}

---

Entry 4:
{"formula": "InSi", "functional": "GGA-PBE", "state": "optimized geometry", "raw_formation_energy_ev_per_atom": 0.19, "space_group": "P3m1 (156)", "density_g_cm3": 5.136, "cell": [[-0.863, -2.755, 2.396], [-0.985, -0.276, -3.610], [6.595, -3.404, -1.537]], "species": ["Si", "Si", "In", "In"], "fractional_positions": [[0.052, 0.387, 0.765], [0.385, 0.054, 0.631], [0.051, 0.387, 0.361], [0.717, 0.720, 0.038]]}

---

Entry 5:
{"formula": "InSi", "functional": "GGA-PBE", "state": "optimized geometry", "raw_formation_energy_ev_per_atom": 0.52, "space_group": "P-6m2 (187)", "density_g_cm3": 5.627, "cell": [[-0.328, 1.688, -2.621], [-2.492, -0.585, 1.810], [0.887, 4.147, 2.561]], "species": ["In", "Si"], "fractional_positions": [[0.000, 0.000, 0.000], [0.667, 0.333, 0.500]]}

---

Entry 6:
{"formula": "In2Si", "functional": "GGA-PBE", "state": "optimized geometry", "raw_formation_energy_ev_per_atom": 0.19, "space_group": "Cm (8)", "relative_energy_mev_per_atom": 14, "density_g_cm3": 5.762, "cell": [[1.842, 5.679, 0.099], [-1.842, 5.679, 0.099], [0.000, 2.083, 7.135]], "species": ["Si", "Si", "In", "In", "In", "In"], "fractional_positions": [[0.874, 0.874, 0.824], [0.262, 0.262, 0.761], [0.714, 0.714, 0.194], [0.579, 0.579, 0.629], [0.032, 0.032, 0.047], [0.372, 0.372, 0.378]]}

---

Entry 7:
{"formula": "InSi", "functional": "GGA-PBE", "state": "optimized geometry", "raw_formation_energy_ev_per_atom": 0.37, "space_group": "Cmme (67)", "density_g_cm3": 5.352, "cell": [[-1.048, 2.908, -0.425], [-2.667, -1.620, -0.060], [-0.839, 1.039, 9.187]], "species": ["Si", "Si", "In", "In"], "fractional_positions": [[0.500, 0.500, 0.297], [0.000, 0.000, 0.453], [0.500, 0.500, 0.708], [0.000, 0.000, 0.042]]}

---

Entry 8:
{"formula": "In3Si", "functional": "GGA-PBE", "state": "optimized geometry", "raw_formation_energy_ev_per_atom": 0.16, "space_group": "Cmcm (63)", "density_g_cm3": 5.449, "cell": [[4.421, -6.819, 0.000], [4.421, 6.819, 0.000], [0.000, 0.000, 3.766]], "species": ["In", "In", "In", "In", "In", "In", "Si", "Si"], "fractional_positions": [[0.095, 0.905, 0.250], [0.903, 0.576, 0.750], [0.576, 0.903, 0.250], [0.905, 0.095, 0.750], [0.424, 0.097, 0.750], [0.097, 0.424, 0.250], [0.550, 0.450, 0.750], [0.450, 0.550, 0.250]]}

---

Entry 9:
{"formula": "In4Si", "functional": "GGA-PBE", "state": "optimized geometry", "raw_formation_energy_ev_per_atom": 0.34, "space_group": "Pm-3m (221)", "relative_energy_mev_per_atom": 36, "density_g_cm3": 5.477, "cell": [[5.287, 0.000, 0.000], [0.000, 5.287, 0.000], [0.000, 0.000, 5.287]], "species": ["In", "In", "In", "In", "Si"], "fractional_positions": [[0.500, 0.500, 0.000], [0.000, 0.000, 0.000], [0.000, 0.500, 0.500], [0.500, 0.000, 0.500], [0.500, 0.500, 0.500]]}

---

Entry 10:
{"formula": "In3Si", "functional": "GGA-PBE", "state": "optimized geometry", "raw_formation_energy_ev_per_atom": 0.29, "space_group": "P4/mmm (123)", "density_g_cm3": 6.382, "cell": [[4.839, 0.000, 0.000], [0.000, 4.839, 0.000], [0.000, 0.000, 4.139]], "species": ["In", "In", "In", "Si"], "fractional_positions": [[0.500, 0.500, 0.000], [0.000, 0.000, 0.000], [0.500, 0.000, 0.500], [0.000, 0.500, 0.500]]}

---

Entry 11:
{"formula": "In2Si", "functional": "GGA-PBE", "state": "optimized geometry", "raw_formation_energy_ev_per_atom": 0.25, "space_group": "Fm-3m (225)", "relative_energy_mev_per_atom": 76, "density_g_cm3": 5.533, "cell": [[-1.325, -4.469, 1.070], [0.516, -3.486, -3.233], [3.314, -3.387, 0.644]], "species": ["In", "In", "Si"], "fractional_positions": [[0.750, 0.750, 0.750], [0.250, 0.250, 0.250], [0.000, 0.000, 0.000]]}

---

Entry 12:
{"formula": "In2Si", "functional": "GGA-PBE", "state": "optimized geometry", "raw_formation_energy_ev_per_atom": 0.24, "space_group": "I4/mcm (140)", "relative_energy_mev_per_atom": 69, "density_g_cm3": 6.112, "cell": [[-3.637, 3.637, 2.646], [3.637, -3.637, 2.646], [3.637, 3.637, -2.646]], "species": ["In", "In", "In", "In", "Si", "Si"], "fractional_positions": [[0.846, 0.346, 0.192], [0.654, 0.846, 0.500], [0.346, 0.154, 0.500], [0.154, 0.654, 0.808], [0.250, 0.250, 0.000], [0.750, 0.750, 0.000]]}

---

Entry 13:
{"formula": "InSi", "functional": "GGA-PBE", "state": "optimized geometry", "raw_formation_energy_ev_per_atom": 0.26, "space_group": "Pbca (61)", "density_g_cm3": 4.957, "cell": [[-6.523, -2.566, 4.282], [3.673, -2.170, 4.294], [-0.268, 6.777, 3.654]], "species": ["In", "In", "In", "In", "In", "In", "In", "In", "Si", "Si", "Si", "Si", "Si", "Si", "Si", "Si"], "fractional_positions": [[0.357, 0.961, 0.625], [0.357, 0.539, 0.125], [0.857, 0.961, 0.875], [0.143, 0.461, 0.625], [0.143, 0.039, 0.125], [0.643, 0.039, 0.375], [0.857, 0.539, 0.375], [0.643, 0.461, 0.875], [0.590, 0.629, 0.563], [0.910, 0.129, 0.563], [0.090, 0.629, 0.937], [0.590, 0.871, 0.063], [0.410, 0.129, 0.937], [0.410, 0.371, 0.437], [0.910, 0.371, 0.063], [0.090, 0.871, 0.437]]}

---

Entry 14:
{"formula": "In2Si", "functional": "GGA-PBE", "state": "optimized geometry", "raw_formation_energy_ev_per_atom": 0.19, "space_group": "P1 (1)", "relative_energy_mev_per_atom": 16, "density_g_cm3": 5.776, "cell": [[-2.368, -2.593, 1.174], [5.061, -0.286, 3.376], [-2.081, 6.454, 2.951]], "species": ["Si", "Si", "In", "In", "In", "In"], "fractional_positions": [[0.807, 0.459, 0.295], [0.142, 0.203, 0.246], [0.661, 0.948, 0.475], [0.078, 0.560, 0.691], [0.506, 0.172, 0.865], [0.876, 0.761, 0.039]]}